w:
DFT (GGA-PBE) results for a relaxed Tb2Tm2In3 crystal.

a b c (Å): 3.5292 3.5292 15.4159
angles (deg): 96.54 96.54 89.99
With the nearest neighbours (Å) after each atom.
Positions (direct):
Tb 0.0705 0.0705 0.1410  8 In 3.29, 4 Tb 3.53
Tb 0.9295 0.9295 0.8590  8 In 3.29, 4 Tb 3.53
Tm 0.2099 0.2099 0.4195  4 In 3.25-3.26, 8 Tm 3.50-3.53
Tm 0.7901 0.7901 0.5805  4 In 3.25-3.26, 8 Tm 3.50-3.53
In 0.3589 0.3589 0.7179  4 Tm 3.25-3.26, 4 Tb 3.29, 4 In 3.53
In 0.5000 0.5000 0.0000  8 Tb 3.29, 4 In 3.53
In 0.6411 0.6411 0.2821  4 Tm 3.25-3.26, 4 Tb 3.29, 4 In 3.53

As for the space group: C2/m, No. 12. The magnetization comes out at 0.00 Bohr magnetons per cell.



x:
DFT (GGA-PBE) results for a relaxed Tb2Tm2In3 crystal.

a b c (Å): 6.7545 6.7545 8.9403
angles (deg): 111.94 111.94 31.95
With the nearest neighbours (Å) after each atom.
Positions (direct):
Tb 0.1156 0.1156 0.4523  3 In 3.13-3.22, 1 Tb 3.43
Tb 0.8844 0.8844 0.5477  3 In 3.13-3.22, 1 Tb 3.43
Tm 0.3742 0.3742 0.1830  5 In 3.18-3.30
Tm 0.6258 0.6258 0.8170  5 In 3.18-3.30
In 0.0000 0.0000 0.0000  4 In 3.03, 4 Tm 3.30
In 0.3169 0.3169 0.7901  2 In 3.03, 3 Tb 3.13-3.22, 3 Tm 3.18-3.30
In 0.6831 0.6831 0.2099  2 In 3.03, 3 Tb 3.13-3.22, 3 Tm 3.18-3.30

As for the space group: C2/m, No. 12. The magnetization comes out at 0.00 Bohr magnetons per cell.



Most stable = w



w:
DFT (GGA-PBE) results for a relaxed Tb6Tm12In crystal.

a b c (Å): 8.3650 8.3650 8.3650
angles (deg): 88.83 88.83 88.83
With the nearest neighbours (Å) after each atom.
Positions (direct):
Tb 0.1975 0.5931 0.7581  7 Tm 3.25-3.60, 1 In 3.38, 2 Tb 3.41
Tb 0.2419 0.8025 0.4069  7 Tm 3.25-3.60, 1 In 3.38, 2 Tb 3.41
Tb 0.4069 0.2419 0.8025  7 Tm 3.25-3.60, 1 In 3.38, 2 Tb 3.41
Tb 0.5931 0.7581 0.1975  7 Tm 3.25-3.60, 1 In 3.38, 2 Tb 3.41
Tb 0.7581 0.1975 0.5931  7 Tm 3.25-3.60, 1 In 3.38, 2 Tb 3.41
Tb 0.8025 0.4069 0.2419  7 Tm 3.25-3.60, 1 In 3.38, 2 Tb 3.41
Tm 0.0400 0.2775 0.9352  6 Tm 3.23-3.56, 3 Tb 3.25-3.39
Tm 0.0648 0.9600 0.7225  6 Tm 3.23-3.56, 3 Tb 3.25-3.39
Tm 0.1403 0.3096 0.4886  4 Tb 3.35-3.60, 4 Tm 3.41-3.55, 1 In 3.44
Tm 0.2775 0.9352 0.0400  6 Tm 3.23-3.56, 3 Tb 3.25-3.39
Tm 0.3096 0.4886 0.1403  4 Tb 3.35-3.60, 4 Tm 3.41-3.55, 1 In 3.44
Tm 0.4886 0.1403 0.3096  4 Tb 3.35-3.60, 4 Tm 3.41-3.55, 1 In 3.44
Tm 0.5114 0.8597 0.6904  4 Tb 3.35-3.60, 4 Tm 3.41-3.55, 1 In 3.44
Tm 0.6904 0.5114 0.8597  4 Tb 3.35-3.60, 4 Tm 3.41-3.55, 1 In 3.44
Tm 0.7225 0.0648 0.9600  6 Tm 3.23-3.56, 3 Tb 3.25-3.39
Tm 0.8597 0.6904 0.5114  4 Tb 3.35-3.60, 4 Tm 3.41-3.55, 1 In 3.44
Tm 0.9352 0.0400 0.2775  6 Tm 3.23-3.56, 3 Tb 3.25-3.39
Tm 0.9600 0.7225 0.0648  6 Tm 3.23-3.56, 3 Tb 3.25-3.39
In 0.5000 0.5000 0.5000  6 Tb 3.38, 6 Tm 3.44

As for the space group: R-3, No. 148. The magnetization comes out at 0.00 Bohr magnetons per cell.



x:
DFT (GGA-PBE) results for a relaxed Tb6Tm12In crystal.

a b c (Å): 8.5002 8.5002 8.5002
angles (deg): 97.58 97.58 97.58
With the nearest neighbours (Å) after each atom.
Positions (direct):
Tb 0.0912 0.3642 0.3642  4 Tm 3.28-3.42, 2 Tb 3.49, 1 In 3.50
Tb 0.3642 0.0912 0.3642  4 Tm 3.28-3.42, 2 Tb 3.49, 1 In 3.50
Tb 0.3642 0.3642 0.0912  4 Tm 3.28-3.42, 2 Tb 3.49, 1 In 3.50
Tb 0.6358 0.6358 0.9088  4 Tm 3.28-3.42, 2 Tb 3.49, 1 In 3.50
Tb 0.6358 0.9088 0.6358  4 Tm 3.28-3.42, 2 Tb 3.49, 1 In 3.50
Tb 0.9088 0.6358 0.6358  4 Tm 3.28-3.42, 2 Tb 3.49, 1 In 3.50
Tm 0.0891 0.0891 0.6686  7 Tm 3.15-3.51
Tm 0.0891 0.6686 0.0891  7 Tm 3.15-3.51
Tm 0.2406 0.5000 0.7594  4 Tb 3.28-3.42, 6 Tm 3.32-3.51, 1 In 3.32
Tm 0.2406 0.7594 0.5000  4 Tb 3.28-3.42, 6 Tm 3.32-3.51, 1 In 3.32
Tm 0.3314 0.9109 0.9109  7 Tm 3.15-3.51
Tm 0.5000 0.2406 0.7594  4 Tb 3.28-3.42, 6 Tm 3.32-3.51, 1 In 3.32
Tm 0.5000 0.7594 0.2406  4 Tb 3.28-3.42, 6 Tm 3.32-3.51, 1 In 3.32
Tm 0.6686 0.0891 0.0891  7 Tm 3.15-3.51
Tm 0.7594 0.2406 0.5000  4 Tb 3.28-3.42, 6 Tm 3.32-3.51, 1 In 3.32
Tm 0.7594 0.5000 0.2406  4 Tb 3.28-3.42, 6 Tm 3.32-3.51, 1 In 3.32
Tm 0.9109 0.3314 0.9109  7 Tm 3.15-3.51
Tm 0.9109 0.9109 0.3314  7 Tm 3.15-3.51
In 0.5000 0.5000 0.5000  6 Tm 3.32, 6 Tb 3.50

As for the space group: R-3m, No. 166. The magnetization comes out at 0.02 Bohr magnetons per cell.



Most stable = w



w:
DFT (GGA-PBE) results for a relaxed Tb3Tm6In crystal.

a b c (Å): 9.5379 5.5003 12.2710
angles (deg): 90.00 110.91 90.00
With the nearest neighbours (Å) after each atom.
Positions (direct):
Tb 0.0254 0.2500 0.3714  9 Tm 3.39-3.59, 2 Tb 3.52
Tb 0.1006 0.7500 0.2219  8 Tm 3.32-3.60, 3 Tb 3.51-3.52
Tb 0.2725 0.2500 0.9735  11 Tm 3.42-3.75, 1 Tb 3.51
Tb 0.7276 0.7500 0.0265  11 Tm 3.42-3.75, 1 Tb 3.51
Tb 0.8994 0.2500 0.7781  8 Tm 3.32-3.60, 3 Tb 3.51-3.52
Tb 0.9746 0.7500 0.6286  9 Tm 3.39-3.59, 2 Tb 3.52
Tm 0.0386 0.7500 0.9306  7 Tb 3.32-3.56, 4 Tm 3.45-3.67
Tm 0.1946 0.2500 0.6702  1 In 3.16, 5 Tm 3.37-3.54, 5 Tb 3.39-3.53
Tm 0.2609 0.7500 0.5146  3 In 3.21-3.32, 4 Tb 3.36-3.59, 2 Tm 3.53
Tm 0.3463 0.2500 0.2951  3 In 3.30-3.32, 3 Tb 3.51-3.52, 3 Tm 3.59-3.64
Tm 0.3484 0.7500 0.8266  8 Tm 3.37-3.72, 4 Tb 3.50-3.57
Tm 0.4262 0.7500 0.1389  1 In 3.20, 2 Tb 3.42, 3 Tm 3.42-3.54
Tm 0.5738 0.2500 0.8611  1 In 3.20, 2 Tb 3.42, 3 Tm 3.42-3.54
Tm 0.6516 0.2500 0.1734  8 Tm 3.37-3.72, 4 Tb 3.50-3.57
Tm 0.6537 0.7500 0.7049  3 In 3.30-3.32, 3 Tb 3.51-3.52, 3 Tm 3.59-3.64
Tm 0.7391 0.2500 0.4854  3 In 3.21-3.32, 4 Tb 3.36-3.59, 2 Tm 3.53
Tm 0.8054 0.7500 0.3298  1 In 3.16, 5 Tm 3.37-3.54, 5 Tb 3.39-3.53
Tm 0.9614 0.2500 0.0694  7 Tb 3.32-3.56, 4 Tm 3.45-3.67
In 0.4689 0.2500 0.5830  8 Tm 3.16-3.32
In 0.5311 0.7500 0.4170  8 Tm 3.16-3.32

As for the space group: P2_1/m, No. 11. The magnetization comes out at 0.00 Bohr magnetons per cell.



x:
DFT (GGA-PBE) results for a relaxed Tb3Tm6In crystal.

a b c (Å): 9.2300 9.2300 7.5678
angles (deg): 90.00 90.00 102.62
With the nearest neighbours (Å) after each atom.
Positions (direct):
Tb 0.1262 0.8738 0.5000  8 Tm 3.47-3.66, 1 In 3.52, 2 Tb 3.72
Tb 0.2152 0.5029 0.5643  6 Tm 3.06-3.40, 1 In 3.08, 1 Tb 3.25
Tb 0.4971 0.7848 0.5643  6 Tm 3.06-3.40, 1 In 3.08, 1 Tb 3.25
Tb 0.5029 0.2152 0.0643  6 Tm 3.06-3.40, 1 In 3.08, 1 Tb 3.25
Tb 0.7848 0.4971 0.0643  6 Tm 3.06-3.40, 1 In 3.08, 1 Tb 3.25
Tb 0.8738 0.1262 0.0000  8 Tm 3.47-3.66, 1 In 3.52, 2 Tb 3.72
Tm 0.1021 0.4822 0.9630  2 Tb 3.06-3.19, 1 In 3.12, 1 Tm 3.36
Tm 0.1259 0.8741 0.0159  1 In 3.25, 4 Tm 3.43-3.60, 1 Tb 3.63
Tm 0.1879 0.2258 0.2623  4 Tb 3.29-3.65, 5 Tm 3.43-3.68
Tm 0.2258 0.1879 0.7623  4 Tb 3.29-3.65, 5 Tm 3.43-3.68
Tm 0.4691 0.5309 0.8899  2 In 3.24-3.29, 4 Tb 3.28-3.37, 4 Tm 3.36-3.59
Tm 0.4822 0.1021 0.4630  2 Tb 3.06-3.19, 1 In 3.12, 1 Tm 3.36
Tm 0.5178 0.8979 0.9630  2 Tb 3.06-3.19, 1 In 3.12, 1 Tm 3.36
Tm 0.5309 0.4691 0.3899  2 In 3.24-3.29, 4 Tb 3.28-3.37, 4 Tm 3.36-3.59
Tm 0.7742 0.8121 0.2623  4 Tb 3.29-3.65, 5 Tm 3.43-3.68
Tm 0.8121 0.7742 0.7623  4 Tb 3.29-3.65, 5 Tm 3.43-3.68
Tm 0.8741 0.1259 0.5159  1 In 3.25, 4 Tm 3.43-3.60, 1 Tb 3.63
Tm 0.8979 0.5178 0.4630  2 Tb 3.06-3.19, 1 In 3.12, 1 Tm 3.36
In 0.3234 0.6766 0.2248  2 Tb 3.08, 5 Tm 3.12-3.29
In 0.6766 0.3234 0.7248  2 Tb 3.08, 5 Tm 3.12-3.29

As for the space group: Cmc2_1, No. 36. The magnetization comes out at 0.00 Bohr magnetons per cell.



Most stable = w



w:
DFT (GGA-PBE) results for a relaxed Tb6Tm8In crystal.

a b c (Å): 8.4124 8.4124 8.4124
angles (deg): 64.06 64.06 64.06
With the nearest neighbours (Å) after each atom.
Positions (direct):
Tb 0.0479 0.6064 0.7284  4 Tm 3.29-3.66, 1 In 3.33, 4 Tb 3.52-3.59
Tb 0.2716 0.9521 0.3936  4 Tm 3.29-3.66, 1 In 3.33, 4 Tb 3.52-3.59
Tb 0.3936 0.2716 0.9521  4 Tm 3.29-3.66, 1 In 3.33, 4 Tb 3.52-3.59
Tb 0.6064 0.7284 0.0479  4 Tm 3.29-3.66, 1 In 3.33, 4 Tb 3.52-3.59
Tb 0.7284 0.0479 0.6064  4 Tm 3.29-3.66, 1 In 3.33, 4 Tb 3.52-3.59
Tb 0.9521 0.3936 0.2716  4 Tm 3.29-3.66, 1 In 3.33, 4 Tb 3.52-3.59
Tm 0.0760 0.0760 0.0760  4 Tm 3.03-3.37, 3 Tb 3.29
Tm 0.2170 0.6094 0.2456  3 Tb 3.33-3.66, 5 Tm 3.35-3.38, 1 In 3.45
Tm 0.2456 0.2170 0.6094  3 Tb 3.33-3.66, 5 Tm 3.35-3.38, 1 In 3.45
Tm 0.3906 0.7544 0.7830  3 Tb 3.33-3.66, 5 Tm 3.35-3.38, 1 In 3.45
Tm 0.6094 0.2456 0.2170  3 Tb 3.33-3.66, 5 Tm 3.35-3.38, 1 In 3.45
Tm 0.7544 0.7830 0.3906  3 Tb 3.33-3.66, 5 Tm 3.35-3.38, 1 In 3.45
Tm 0.7830 0.3906 0.7544  3 Tb 3.33-3.66, 5 Tm 3.35-3.38, 1 In 3.45
Tm 0.9240 0.9240 0.9240  4 Tm 3.03-3.37, 3 Tb 3.29
In 0.5000 0.5000 0.5000  6 Tb 3.33, 6 Tm 3.45

As for the space group: R-3, No. 148. The magnetization comes out at 0.00 Bohr magnetons per cell.



x:
DFT (GGA-PBE) results for a relaxed Tb6Tm8In crystal.

a b c (Å): 9.1391 9.1391 6.6349
angles (deg): 90.00 90.00 120.00
With the nearest neighbours (Å) after each atom.
Positions (direct):
Tb 0.0817 0.6836 0.1005  3 Tm 3.15-3.46, 1 Tb 3.20, 1 In 3.39
Tb 0.3164 0.3981 0.1005  3 Tm 3.15-3.46, 1 Tb 3.20, 1 In 3.39
Tb 0.3981 0.0817 0.8995  3 Tm 3.15-3.46, 1 Tb 3.20, 1 In 3.39
Tb 0.6019 0.9183 0.1005  3 Tm 3.15-3.46, 1 Tb 3.20, 1 In 3.39
Tb 0.6836 0.6019 0.8995  3 Tm 3.15-3.46, 1 Tb 3.20, 1 In 3.39
Tb 0.9183 0.3164 0.8995  3 Tm 3.15-3.46, 1 Tb 3.20, 1 In 3.39
Tm 0.0182 0.3325 0.3935  3 Tb 3.15-3.46, 3 Tm 3.26-3.28
Tm 0.3143 0.9818 0.3935  3 Tb 3.15-3.46, 3 Tm 3.26-3.28
Tm 0.3325 0.3143 0.6065  3 Tb 3.15-3.46, 3 Tm 3.26-3.28
Tm 0.3333 0.6667 0.6823  6 Tm 3.26-3.54
Tm 0.6667 0.3333 0.3177  6 Tm 3.26-3.54
Tm 0.6675 0.6857 0.3935  3 Tb 3.15-3.46, 3 Tm 3.26-3.28
Tm 0.6857 0.0182 0.6065  3 Tb 3.15-3.46, 3 Tm 3.26-3.28
Tm 0.9818 0.6675 0.6065  3 Tb 3.15-3.46, 3 Tm 3.26-3.28
In 0.0000 0.0000 0.0000  6 Tb 3.39

As for the space group: P-3, No. 147. The magnetization comes out at 0.00 Bohr magnetons per cell.



Most stable = w